Below is an optimized crystal structure of HfP3, with properties calculated at the PBE-GGA level.

Geometry as extended XYZ:
```
8
Lattice="0.0013 1.7077 5.3038 -4.3258 1.1831 -3.3067 -2.1884 -4.2107 1.3562" Properties=species:S:1:pos:R:3 pbc="T T T"
P -4.0469 0.2306 -1.3240
P -2.4660 -1.5505 4.6773
P -4.0463 0.9603 0.9425
P -4.3145 -1.0449 3.2643
P -2.4666 -2.2802 2.4109
P -2.1984 -0.2750 0.0891
Hf -1.9882 0.4801 2.7727
Hf -4.5247 -1.8001 0.5806
```

crystal system = hexagonal
M_tot = 0.0000 μB/atom
density of states at the Fermi level = 1.74 states/eV/f.u.
E_form = -0.1805 eV per atom



Below is an optimized crystal structure of Tb2BiPd, with properties calculated at the PBE-GGA level.

Geometry as extended XYZ:
```
4
Lattice="-0.5089 -0.4521 -4.3003 -1.3544 -3.7970 -1.6446 -7.1845 0.6839 -1.4257" Properties=species:S:1:pos:R:3 pbc="T T T"
Pd 0.0000 0.0000 0.0000
Bi -4.5239 -1.7826 -3.6853
Tb -6.9862 -2.6097 -5.5109
Tb -2.0616 -0.9554 -1.8596
```

ΔE to the lowest computed polymorph = 106.0 meV per atom
crystal system = trigonal
M_tot = 0.0000 μB/atom
density of states at the Fermi level = 2.40 states/eV/f.u.
E_form = -0.7022 eV per atom



Below is an optimized crystal structure of TaRhSe2, with properties calculated at the PBE-GGA level.

Geometry as extended XYZ:
```
4
Lattice="-0.2721 0.0262 5.4070 -3.7187 -2.9482 2.6057 3.6955 -0.5990 -3.9108" Properties=species:S:1:pos:R:3 pbc="T T T"
Se -1.0093 -2.5041 1.3506
Se 0.0000 0.0000 0.0000
Rh 0.7140 -1.0169 2.7513
Ta -1.9954 -1.4610 4.0063
```

ΔE to the lowest computed polymorph = 526.6 meV per atom
crystal system = tetragonal
M_tot = 0.0000 μB/atom
ΔE_f (raw) = 0.026 eV/atom
density of states at the Fermi level = 2.21 states/eV/f.u.



Below is an optimized crystal structure of Be2RhAu, with properties calculated at the PBE-GGA level.

Geometry as extended XYZ:
```
4
Lattice="-0.2089 2.9312 -1.7495 -2.6490 2.1046 0.4997 1.6498 4.0747 3.2872" Properties=species:S:1:pos:R:3 pbc="T T T"
Be -0.3464 2.2368 0.4462
Be 1.0654 3.5367 2.4556
Rh -0.3218 7.3709 2.3596
Au -0.5597 4.5961 1.0818
```

ΔE to the lowest computed polymorph = 338.3 meV per atom
crystal system = trigonal
M_tot = 0.0000 μB/atom
density of states at the Fermi level = 1.32 states/eV/f.u.
E_form = -0.1270 eV per atom



Below is an optimized crystal structure of BaZnSi2, with properties calculated at the PBE-GGA level.

Geometry as extended XYZ:
```
4
Lattice="3.6186 0.0143 0.0000 -0.0158 3.6186 0.0000 0.0000 0.0000 6.9507" Properties=species:S:1:pos:R:3 pbc="T T T"
Ba 1.8014 1.8164 5.2131
Zn 1.8014 1.8164 1.7377
Si 0.0000 0.0000 0.5798
Si 0.0000 0.0000 2.8955
```

crystal system = tetragonal
M_tot = 0.0000 μB/atom
ΔE_f (raw) = 0.021 eV/atom
density of states at the Fermi level = 1.38 states/eV/f.u.



Below is an optimized crystal structure of PaZnGaPt, with properties calculated at the PBE-GGA level.

Geometry as extended XYZ:
```
4
Lattice="-3.1314 -3.5555 0.2948 0.8138 -3.6424 2.9334 -2.6307 -0.5273 3.9161" Properties=species:S:1:pos:R:3 pbc="T T T"
Ga 0.0000 0.0000 0.0000
Pa -2.4741 -3.8626 3.5721
Pt -3.7112 -5.7939 5.3582
Zn -1.2371 -1.9313 1.7861
```

crystal system = cubic
M_tot = 0.0000 μB/atom
density of states at the Fermi level = 2.40 states/eV/f.u.
E_form = -0.5075 eV per atom



Below is an optimized crystal structure of Ac2P4PtRh3, with properties calculated at the PBE-GGA level.

Geometry as extended XYZ:
```
10
Lattice="-3.6978 1.8003 1.3523 -0.1699 -2.8159 3.2842 5.0373 6.1742 5.5544" Properties=species:S:1:pos:R:3 pbc="T T T"
P 1.7434 0.8331 3.6582
P -1.9339 -0.5078 2.3183
P 1.3600 4.8333 4.2145
P 0.0000 0.0000 0.0000
Rh 0.4561 -0.7448 2.2386
Rh 2.5186 3.0871 2.7772
Rh 2.6473 6.4112 5.6340
Ac 3.7298 3.2678 5.8485
Ac -0.6264 2.3986 2.0242
Pt 0.5848 2.5793 5.0954
```

crystal system = tetragonal
M_tot = 0.0000 μB/atom
density of states at the Fermi level = 6.95 states/eV/f.u.
E_form = -1.0249 eV per atom



Below is an optimized crystal structure of ErScTlPb, with properties calculated at the PBE-GGA level.

Geometry as extended XYZ:
```
4
Lattice="-0.1670 2.8027 -4.4596 -3.5909 -1.1283 -3.6883 -4.0022 3.3130 -0.8817" Properties=species:S:1:pos:R:3 pbc="T T T"
Pb -5.8201 3.7405 -6.7722
Er -3.8800 2.4937 -4.5148
Tl -1.9400 1.2468 -2.2574
Sc 0.0000 0.0000 0.0000
```

crystal system = cubic
M_tot = 0.0003 μB/atom
density of states at the Fermi level = 4.27 states/eV/f.u.
E_form = -0.2754 eV per atom



Below is an optimized crystal structure of K3Na2CdF9, with properties calculated at the PBE-GGA level.

Geometry as extended XYZ:
```
15
Lattice="6.1785 0.0000 0.0000 -3.0892 5.3507 0.0000 0.0000 0.0000 7.7150" Properties=species:S:1:pos:R:3 pbc="T T T"
Cd 0.0000 0.0000 3.8575
F 1.6130 4.4984 2.5774
F 3.0892 0.0000 0.0000
F -1.5446 2.6754 0.0000
F 4.7022 0.8523 5.1376
F 1.4763 0.8523 5.1376
F -1.6130 4.4984 2.5774
F 1.5446 2.6754 0.0000
F 0.0000 1.7046 2.5774
F 3.0892 3.6461 5.1376
Na 0.0000 3.5671 1.3382
Na 3.0892 1.7836 6.3768
K 3.0892 1.7836 2.2239
K 0.0000 3.5671 5.4911
K 0.0000 0.0000 0.0000
```

crystal system = trigonal
M_tot = 0.1349 μB/atom
ΔE_f (raw) = -2.267 eV/atom
density of states at the Fermi level = 10.22 states/eV/f.u.



Below is an optimized crystal structure of Nd2Dy5ErTh, with properties calculated at the PBE-GGA level.

Geometry as extended XYZ:
```
18
Lattice="-2.9185 -0.9065 4.7236 -6.8749 -0.8149 -7.7544 2.0660 -10.4649 -0.7319" Properties=species:S:1:pos:R:3 pbc="T T T"
Dy -6.4612 -1.2258 -4.2273
Dy -3.4601 -9.5481 -0.6199
Dy -6.4545 -8.9299 -5.7017
Dy -4.3722 -3.1404 0.0463
Dy -0.2135 -0.2998 -0.1894
Dy -3.9967 -4.0089 -3.2387
Dy -3.5280 -8.1704 -3.7478
Dy -2.2062 -6.1992 0.7975
Dy -1.3253 -2.9909 1.9575
Dy -8.4444 -7.1732 -3.2437
Nd -6.1886 -9.9954 -2.3916
Nd -0.4120 -7.9694 -1.7840
Nd -1.2558 -3.6239 -1.4714
Nd -7.3835 -3.8718 -1.9546
Th -0.9024 -10.6506 0.7488
Th -5.9826 -5.8028 -4.8100
Er -5.4139 -6.5511 -1.2519
Er -3.3057 -0.6094 -2.1594
```

crystal system = orthorhombic
M_tot = 0.0000 μB/atom
density of states at the Fermi level = 13.76 states/eV/f.u.
E_form = 0.1692 eV per atom



Below is an optimized crystal structure of K2HSe2, with properties calculated at the PBE-GGA level.

Geometry as extended XYZ:
```
5
Lattice="-0.7638 1.3431 -4.0708 -5.1983 -1.4899 0.4865 -2.4663 4.4357 1.9290" Properties=species:S:1:pos:R:3 pbc="T T T"
H 0.0000 0.0000 0.0000
Se -3.1884 2.8696 1.5477
Se -4.4763 0.0763 0.8677
K -6.1360 2.8844 -0.2272
K -2.2924 1.4046 -1.4281
```

ΔE to the lowest computed polymorph = 120.7 meV per atom
crystal system = monoclinic
M_tot = 0.0724 μB/atom
density of states at the Fermi level = 3.48 states/eV/f.u.



Below is an optimized crystal structure of Sc5C3, with properties calculated at the PBE-GGA level.

Geometry as extended XYZ:
```
8
Lattice="2.9117 0.0000 0.0000 0.0000 2.9117 0.0000 0.0000 0.0000 14.2269" Properties=species:S:1:pos:R:3 pbc="T T T"
Sc 1.4558 1.4558 5.8129
Sc 0.0000 0.0000 2.7546
Sc 0.0000 0.0000 0.0000
Sc 1.4558 1.4558 8.4140
Sc 0.0000 0.0000 11.4724
C 0.0000 0.0000 7.1135
C 1.4558 1.4558 12.6756
C 1.4558 1.4558 1.5513
```

ΔE to the lowest computed polymorph = 441.9 meV per atom
crystal system = tetragonal
M_tot = 0.0000 μB/atom
density of states at the Fermi level = 9.17 states/eV/f.u.
E_form = 0.1535 eV per atom



Below is an optimized crystal structure of LaPm2Sn2Hg2, with properties calculated at the PBE-GGA level.

Geometry as extended XYZ:
```
7
Lattice="-1.7652 -4.5849 -1.0980 2.4614 -2.9276 -3.2732 5.2258 -6.0953 5.5101" Properties=species:S:1:pos:R:3 pbc="T T T"
Hg 4.0229 -7.5675 2.0511
Hg 1.8990 -6.0402 -0.9122
Pm 2.6670 -8.9297 -1.6215
Pm 3.2550 -4.6780 2.7605
La 0.0000 0.0000 0.0000
Sn 1.2051 -3.2039 -0.0994
Sn 4.7168 -10.4038 1.2384
```

crystal system = trigonal
M_tot = 0.0000 μB/atom
density of states at the Fermi level = 5.87 states/eV/f.u.
E_form = -0.3991 eV per atom



Below is an optimized crystal structure of NaLaMn, with properties calculated at the PBE-GGA level.

Geometry as extended XYZ:
```
6
Lattice="-3.5061 -1.2808 0.8646 -1.5811 -2.8048 -2.0775 5.5784 -9.5057 8.5655" Properties=species:S:1:pos:R:3 pbc="T T T"
Na -0.0402 -5.0035 0.2989
Na -3.0664 -2.8542 -0.2992
Mn 0.4302 -8.7922 5.0449
Mn 2.0648 -8.5741 3.5063
La 2.8856 -8.7224 6.6168
La 1.1896 -5.8388 4.0123
```

ΔE to the lowest computed polymorph = 3.8 meV per atom
crystal system = triclinic
M_tot = 0.0000 μB/atom
density of states at the Fermi level = 2.68 states/eV/f.u.
E_form = 0.0980 eV per atom



Below is an optimized crystal structure of RbTl2GaCu, with properties calculated at the PBE-GGA level.

Geometry as extended XYZ:
```
5
Lattice="-4.6151 -1.0735 -2.7424 1.8797 -4.3609 -1.4563 -2.0930 -2.3910 4.4582" Properties=species:S:1:pos:R:3 pbc="T T T"
Tl -2.3076 -0.5367 -1.3712
Tl -1.0465 -1.1955 2.2291
Cu 0.0000 0.0000 0.0000
Rb -2.4142 -3.9127 0.1297
Ga 0.9399 -2.1805 -0.7282
```

crystal system = tetragonal
M_tot = 0.0000 μB/atom
density of states at the Fermi level = 3.74 states/eV/f.u.
E_form = 0.1232 eV per atom



Below is an optimized crystal structure of CeB4Rh6, with properties calculated at the PBE-GGA level.

Geometry as extended XYZ:
```
11
Lattice="4.9072 -0.0472 2.7124 -1.4547 4.6869 2.7124 -0.0199 -0.0266 5.8157" Properties=species:S:1:pos:R:3 pbc="T T T"
Rh 3.7804 2.3719 7.1456
Rh 1.1861 4.3024 7.1456
Rh 0.2402 0.3228 2.9908
Rh -0.7229 2.3431 1.3593
Rh 2.4520 -0.0194 1.3593
Rh 1.6540 2.2228 5.1921
B 0.6779 2.5662 3.1642
B 2.2634 1.3864 3.1642
B 2.3912 3.2136 8.7558
B 1.5336 2.0611 7.3951
Ce 0.0014 0.0019 0.0026
```

crystal system = monoclinic
M_tot = 0.0000 μB/atom
density of states at the Fermi level = 8.56 states/eV/f.u.
E_form = -0.3591 eV per atom



Below is an optimized crystal structure of ZrSiBi2, with properties calculated at the PBE-GGA level.

Geometry as extended XYZ:
```
8
Lattice="-3.7917 3.6072 4.1041 2.6429 -3.1615 5.2204 4.1077 4.7335 5.0235" Properties=species:S:1:pos:R:3 pbc="T T T"
Zr 0.0000 0.0000 0.0000
Zr -0.1292 4.2818 6.8949
Bi 2.0397 3.9830 11.8558
Bi 2.6858 3.6744 7.3351
Bi -0.9611 2.9938 4.4178
Bi 2.1534 -0.2927 5.0873
Si -0.5744 0.2229 4.6623
Si 3.0881 0.8975 7.4531
```

crystal system = tetragonal
M_tot = 0.0000 μB/atom
ΔE_f (raw) = 0.506 eV/atom
density of states at the Fermi level = 1.42 states/eV/f.u.



Below is an optimized crystal structure of PmRh2Pb, with properties calculated at the PBE-GGA level.

Geometry as extended XYZ:
```
4
Lattice="-0.8165 4.2825 2.0825 -3.0499 0.3288 3.7328 1.6970 0.8924 4.4348" Properties=species:S:1:pos:R:3 pbc="T T T"
Pm 0.0000 0.0000 0.0000
Rh -1.6271 4.1278 7.6876
Rh -0.5424 1.3759 2.5625
Pb -1.0847 2.7519 5.1251
```

ΔE to the lowest computed polymorph = 0.0 meV per atom
crystal system = cubic
M_tot = 0.0001 μB/atom
density of states at the Fermi level = 4.57 states/eV/f.u.
E_form = -0.4761 eV per atom



Below is an optimized crystal structure of BeGaPt4, with properties calculated at the PBE-GGA level.

Geometry as extended XYZ:
```
12
Lattice="-4.4458 0.7159 -0.5136 -0.6125 -5.0545 -1.7433 -1.4853 -2.2115 6.9340" Properties=species:S:1:pos:R:3 pbc="T T T"
Be -2.9656 -0.7478 3.2102
Be -1.0489 -3.6330 2.5954
Pt -2.8732 -2.3447 1.4233
Pt -4.9316 -0.6292 1.6347
Pt -3.0176 -4.6168 -0.4953
Pt -3.5261 -1.9333 5.1724
Pt -5.0575 -2.7489 -0.2313
Pt -1.4862 -3.8011 4.9084
Pt -1.6121 -5.9209 3.0424
Pt -3.6705 -4.2054 3.2538
Ga -2.5292 -2.1693 -1.1284
Ga 0.0000 0.0000 0.0000
```

ΔE to the lowest computed polymorph = 52.2 meV per atom
crystal system = monoclinic
M_tot = 0.0000 μB/atom
density of states at the Fermi level = 2.43 states/eV/f.u.
E_form = -0.4216 eV per atom



Below is an optimized crystal structure of LaSbSN2, with properties calculated at the PBE-GGA level.

Geometry as extended XYZ:
```
5
Lattice="-1.4960 3.9811 -0.2378 -3.8076 -1.5013 -1.1798 -1.6287 -0.2770 5.6088" Properties=species:S:1:pos:R:3 pbc="T T T"
S -0.8144 -0.1385 2.8044
N -1.9038 -0.7506 -0.5899
N -0.7480 1.9905 -0.1189
Sb -3.4662 1.1014 2.0956
La 0.0000 0.0000 0.0000
```

ΔE to the lowest computed polymorph = 790.2 meV per atom
crystal system = tetragonal
M_tot = 0.0000 μB/atom
ΔE_f (raw) = 0.678 eV/atom
density of states at the Fermi level = 2.64 states/eV/f.u.